Model one:
Crystalline RbBeAs2Se at its relaxed geometry, computed with PBE.

Computed properties:
* volume: 194.2 Å³ per cell
* DOS at the Fermi energy: 1.2395 states/eV per atom

Lattice parameters (Å, degrees): 5.7793 5.7793 5.8140 90.00 90.00 90.00
Space group P4/mmm (No. 123)
Inequivalent atoms, fractional coordinates:
Rb  0.0000  0.0000  0.0000 x1
Be  0.5000  0.5000  0.5000 x1
As  0.0000  0.5000  0.0000 x2
Se  0.0000  0.0000  0.5000 x1

Model two:
Crystalline RbBeAs2Se at its relaxed geometry, computed with PBE.

Computed properties:
* volume: 114.5 Å³ per cell
* DOS at the Fermi energy: 0.8224 states/eV per atom

Lattice parameters (Å, degrees): 4.6784 4.6784 5.2295 90.00 90.00 90.00
Space group P4/mmm (No. 123)
Inequivalent atoms, fractional coordinates:
Rb  0.0000  0.0000  0.0000 x1
Be  0.5000  0.5000  0.5000 x1
As  0.0000  0.5000  0.5000 x2
Se  0.5000  0.5000  0.0000 x1

Result of the stability comparison: model two is the most stable of them.